Compound: K2LaRe3O12
Source: Alexandria
Functional: PBE
Structure: optimized geometry

Summary:
formation energy (no corrections): -1895 meV per atom
total moment: 0.857 μB per cell

Cell lengths 7.095, 7.095, 7.095 Å; angles 63.81, 63.81, 63.81 degrees
Each line ends with the local moment (μB).
Fractional coordinates of all 18 atoms:
O1 0.881 0.412 0.881  0.01
O2 0.119 0.588 0.119  0.01
O3 0.087 0.720 0.720  -0.04
O4 0.280 0.913 0.280  -0.04
O5 0.280 0.280 0.913  -0.04
O6 0.412 0.881 0.881  0.01
O7 0.913 0.280 0.280  -0.04
O8 0.588 0.119 0.119  0.01
O9 0.720 0.087 0.720  -0.04
O10 0.720 0.720 0.087  -0.04
O11 0.119 0.119 0.588  0.01
O12 0.881 0.881 0.412  0.01
Re1 0.000 0.000 0.500  -0.20
Re2 0.000 0.500 0.000  -0.20
Re3 0.500 0.000 0.000  -0.20
La1 0.000 0.000 0.000  0.00
K1 0.616 0.616 0.616  0.00
K2 0.384 0.384 0.384  0.00